A plane-wave DFT calculation with PBE-GGA was carried out for LiPm2Nd after structural relaxation. Values from VASP.

The structure in Quantum ESPRESSO input format:
```
&SYSTEM
  ibrav = 0, nat = 4, ntyp = 3
/
ATOMIC_SPECIES
Li 6.94 Li.upf
Nd 144.24 Nd.upf
Pm 145.00 Pm.upf
ATOMIC_POSITIONS angstrom
Li -1.043 -1.403 0.657
Nd -1.317 0.499 4.287
Pm -1.835 1.916 1.181
Pm 1.561 -0.014 2.449
CELL_PARAMETERS angstrom
-2.086 -2.807 1.314
3.123 -0.028 4.898
-3.670 3.833 2.362
```

For the magnetic moment, the calculation gives 0.0 μB per formula unit. The theoretical density comes out at 5.8 g/cm3. The total energy is -3.909 eV/atom. Its space-group type is P4/mmm (123).